Entry from the Alexandria database: CsZr2TaO8 after structural relaxation (PBE).

abc: 4.838 4.838 7.788
angles: 95.12 95.12 87.58
Sites, in units of the cell vectors:
Cs 0.000 0.000 0.000
Zr 0.473 0.473 0.705
Zr 0.527 0.527 0.295
Ta 0.000 0.000 0.500
O 0.160 0.747 0.315
O 0.253 0.840 0.685
O 0.292 0.292 0.483
O 0.396 0.396 0.965
O 0.604 0.604 0.035
O 0.708 0.708 0.517
O 0.747 0.160 0.315
O 0.840 0.253 0.685

Values from the calculation:
Energy relative to the elements, uncorrected: -2.50 eV/atom
Total moment: 0.000 μB/atom
Density of states at the Fermi level: 0.0000 states/eV/atom
Raw total energy: -99.5 eV per formula unit

***

Entry from the Alexandria database: CsZrTaO2 after structural relaxation (PBE).

abc: 3.996 3.996 7.361
angles: 90.00 90.00 90.00
Sites, in units of the cell vectors:
Cs 0.000 0.000 0.000
Zr 0.500 0.500 0.000
Ta 0.000 0.000 0.500
O 0.000 0.500 0.500
O 0.500 0.000 0.500

Values from the calculation:
Energy relative to the elements, uncorrected: 0.02 eV/atom
Total moment: 0.000 μB/atom
Density of states at the Fermi level: 0.9469 states/eV/atom
Raw total energy: -31.1 eV per formula unit

***

What is the total moment in the first record?
0.000 μB/atom